# 1
## PrErSi2 (PBE)

Data for an optimized crystal structure of PrErSi2.

a b c (Å): 5.820 3.884 8.090
angles (deg): 90.00 90.81 90.00
Atoms (fractional coordinates):
Pr1 0.115 0.250 0.180
Pr2 0.885 0.750 0.820
Er1 0.386 0.250 0.678
Er2 0.614 0.750 0.322
Si1 0.129 0.750 0.467
Si2 0.378 0.750 0.959
Si3 0.622 0.250 0.041
Si4 0.871 0.250 0.533

Properties
Space-group type: P2_1/m (11)
Offset from the most stable computed form, meV per atom: 16

# 2
## LuTlHgTe3 (PBE)

Data for an optimized crystal structure of LuTlHgTe3.

a b c (Å): 8.882 4.669 18.254
angles (deg): 90.00 90.00 90.00
Atoms (fractional coordinates):
Lu1 0.230 0.250 0.037
Lu2 0.270 0.750 0.537
Lu3 0.730 0.250 0.463
Lu4 0.770 0.750 0.963
Tl1 0.056 0.250 0.801
Tl2 0.444 0.750 0.301
Tl3 0.556 0.250 0.699
Tl4 0.944 0.750 0.199
Hg1 0.083 0.250 0.340
Hg2 0.417 0.750 0.840
Hg3 0.583 0.250 0.160
Hg4 0.917 0.750 0.660
Te1 0.003 0.250 0.573
Te2 0.123 0.750 0.944
Te3 0.235 0.250 0.203
Te4 0.265 0.750 0.703
Te5 0.377 0.250 0.444
Te6 0.497 0.750 0.073
Te7 0.503 0.250 0.927
Te8 0.623 0.750 0.556
Te9 0.735 0.250 0.297
Te10 0.765 0.750 0.797
Te11 0.877 0.250 0.056
Te12 0.997 0.750 0.427

Properties
Space-group type: Pnma (62)
Offset from the most stable computed form, meV per atom: 100

# 3
## PmThPd6 (PBE)

Data for an optimized crystal structure of PmThPd6.

a b c (Å): 4.188 4.188 8.361
angles (deg): 90.00 90.00 90.00
Atoms (fractional coordinates):
Pm1 0.000 0.000 0.000
Th1 0.000 0.000 0.500
Pd1 0.000 0.500 0.253
Pd2 0.000 0.500 0.747
Pd3 0.500 0.000 0.253
Pd4 0.500 0.000 0.747
Pd5 0.500 0.500 0.000
Pd6 0.500 0.500 0.500

Properties
Formation energy, meV/atom: -922
Space-group type: P4/mmm (123)

# 4
## ZrBeSi (PBE)

Data for an optimized crystal structure of ZrBeSi.

a b c (Å): 7.118 3.715 7.295
angles (deg): 90.00 90.00 90.00
Atoms (fractional coordinates):
Zr1 0.187 0.250 0.076
Zr2 0.313 0.750 0.576
Zr3 0.687 0.250 0.424
Zr4 0.813 0.750 0.924
Be1 0.017 0.250 0.730
Be2 0.483 0.750 0.230
Be3 0.517 0.250 0.770
Be4 0.983 0.750 0.270
Si1 0.082 0.250 0.424
Si2 0.418 0.750 0.924
Si3 0.582 0.250 0.076
Si4 0.918 0.750 0.576

Properties
Space-group type: Pnma (62)
Offset from the most stable computed form, meV per atom: 539

# 5
## SmOsPt (PBE)

Data for an optimized crystal structure of SmOsPt.

a b c (Å): 4.579 4.579 4.579
angles (deg): 60.00 60.00 60.00
Atoms (fractional coordinates):
Sm1 0.000 0.000 0.000
Os1 0.750 0.750 0.750
Pt1 0.250 0.250 0.250

Properties
Formation energy, meV/atom: 805
Space-group type: F-43m (216)

# 6
## GdYPt (PBE)

Data for an optimized crystal structure of GdYPt.

a b c (Å): 7.172 4.801 8.840
angles (deg): 90.00 90.00 90.00
Atoms (fractional coordinates):
Gd1 0.010 0.250 0.167
Gd2 0.490 0.750 0.667
Gd3 0.510 0.250 0.333
Gd4 0.990 0.750 0.833
Y1 0.144 0.250 0.581
Y2 0.356 0.750 0.081
Y3 0.644 0.250 0.919
Y4 0.856 0.750 0.419
Pt1 0.241 0.250 0.906
Pt2 0.259 0.750 0.406
Pt3 0.741 0.250 0.594
Pt4 0.759 0.750 0.094

Properties
Formation energy, meV/atom: -922
Space-group type: Pnma (62)
Offset from the most stable computed form, meV per atom: 0

# 7
## PmTePt (PBE)

Data for an optimized crystal structure of PmTePt.

a b c (Å): 4.824 4.824 4.824
angles (deg): 60.00 60.00 60.00
Atoms (fractional coordinates):
Pm1 0.000 0.000 0.000
Te1 0.500 0.500 0.500
Pt1 0.250 0.250 0.250

Properties
Space-group type: F-43m (216)
Offset from the most stable computed form, meV per atom: 0

# 8
## Cs2AgSnBr6 (PBE)

Data for an optimized crystal structure of Cs2AgSnBr6.

a b c (Å): 7.941 7.941 7.941
angles (deg): 120.19 120.19 89.67
Atoms (fractional coordinates):
Cs1 0.250 0.750 0.500
Cs2 0.750 0.250 0.500
Ag1 0.000 0.000 0.000
Sn1 0.500 0.500 0.000
Br1 0.250 0.250 0.000
Br2 0.250 0.250 0.500
Br3 0.250 0.750 0.000
Br4 0.750 0.250 0.000
Br5 0.750 0.750 0.000
Br6 0.750 0.750 0.500

Properties
Space-group type: I4/mmm (139)
Offset from the most stable computed form, meV per atom: 0

These records have mass density values of 6.62, 8.45, 11.50, 4.42, 13.11, 9.63, 9.78, 4.57 g cm⁻³, in the order they appear.